Computed, not measured: a relaxed FeCoF3 crystal at the PBE+U level of DFT.

abc: 4.0188 4.0188 4.0188
angles: 90.00 90.00 90.00
Last column: nearest neighbours and their distance in Å.
Sites, in units of the cell vectors:
1 Co 0.0000 0.0000 0.0000  6 F 2.01
2 Fe 0.5000 0.5000 0.5000  12 F 2.84
3 F 0.0000 0.5000 0.0000  2 Co 2.01
4 F 0.0000 0.0000 0.5000  2 Co 2.01
5 F 0.5000 0.0000 0.0000  2 Co 2.01

Results
- Space-group type: Pm-3m
- Relative energy among the computed polymorphs: 67 meV per atom
- Total DFT energy (no corrections): -0.1669 hartree per atom